Below is crystalline CaPm2Ho at its relaxed geometry, with properties calculated at the GGA-PBE level.

Unit cell a=3.5860 b=3.5860 c=38.3418 alpha=90.00 beta=90.00 gamma=120.00
Closest atoms and distances in Å follow each position.
Space group R-3m (No. 166, hexagonal axes)
Symmetry-distinct sites (fractional):
Ca 0.0000 0.0000 0.0000 (multiplicity 3)  2 Pm 3.52, 6 Ca 3.59
Pm 0.0000 0.0000 0.0918 (multiplicity 6)  1 Ca 3.52, 3 Ho 3.54, 6 Pm 3.59
Ho 0.0000 0.0000 0.5000 (multiplicity 3)  6 Pm 3.54, 6 Ho 3.59

Summary:
The crystal system is trigonal. For the energy above the most stable polymorph in this dataset, the calculation gives 93 meV per atom. The value obtained for the energy of formation is 133 meV/atom. The density comes out at 5.78 g/cm3. The value obtained for the density of states at the Fermi level is 1.17 states/eV per atom.

Below is crystalline CaPmHo at its relaxed geometry, with properties calculated at the GGA-PBE level.

Unit cell a=21.3761 b=3.5966 c=5.5898 alpha=90.00 beta=90.13 gamma=90.00
Closest atoms and distances in Å follow each position.
Space group C2/m (No. 12)
Symmetry-distinct sites (fractional):
Ca 0.2041 0.0000 0.2499 (multiplicity 4)  1 Ho 3.52, 6 Ca 3.60-3.86, 2 Pm 3.94
Pm 0.1049 0.5000 0.7510 (multiplicity 4)  6 Ho 3.57-3.61, 2 Pm 3.60, 4 Ca 3.94-3.95
Ho 0.0396 0.0000 0.2506 (multiplicity 4)  4 Ho 3.26-3.60, 1 Ca 3.52, 6 Pm 3.57-3.61

Summary:
The crystal system is monoclinic. For the energy above the most stable polymorph in this dataset, the calculation gives 0 meV per atom. The value obtained for the energy of formation is 36 meV/atom. The density comes out at 5.41 g/cm3. The value obtained for the density of states at the Fermi level is 1.40 states/eV per atom.

Below is crystalline CaPm7Ho2 at its relaxed geometry, with properties calculated at the GGA-PBE level.

Unit cell a=5.5131 b=7.8486 c=9.6021 alpha=65.94 beta=73.38 gamma=90.00
Closest atoms and distances in Å follow each position.
Space group P-1 (No. 2)
Symmetry-distinct sites (fractional):
Ca 0.0000 0.0000 0.0000 (multiplicity 1)  2 Ho 3.58, 8 Pm 3.85-3.86
Pm 0.1630 0.6636 0.6748 (multiplicity 2)  2 Ho 3.43, 6 Pm 3.66-3.76
Pm 0.3682 0.0672 0.2630 (multiplicity 2)  2 Pm 3.13-3.22, 3 Ho 3.46-3.48
Pm 0.3675 0.6680 0.2643 (multiplicity 2)  2 Pm 3.13-3.22, 3 Ho 3.46-3.47
Pm 0.5000 0.5000 0.0000 (multiplicity 1)  4 Pm 3.22
Ho 0.2150 0.2142 0.5700 (multiplicity 2)  8 Pm 3.43-3.48, 1 Ca 3.58

Summary:
The crystal system is triclinic. The value obtained for the energy of formation is 211 meV/atom. The density comes out at 6.38 g/cm3. The value obtained for the density of states at the Fermi level is 1.30 states/eV per atom.

Below is crystalline CaPm6Ho4 at its relaxed geometry, with properties calculated at the GGA-PBE level.

Unit cell a=7.9766 b=7.9766 c=12.8140 alpha=90.00 beta=90.00 gamma=90.00
Closest atoms and distances in Å follow each position.
Space group I-42m (No. 121)
Symmetry-distinct sites (fractional):
Ca 0.0000 0.0000 0.0000 (multiplicity 2)  4 Ho 3.83, 8 Pm 3.89-3.99
Pm 0.0000 0.5000 0.0000 (multiplicity 4)  4 Pm 3.12
Pm 0.1662 0.1662 0.5746 (multiplicity 8)  4 Pm 3.12-3.27, 2 Ho 3.23-3.46
Ho 0.2361 0.2361 0.3119 (multiplicity 8)  4 Pm 3.23-3.57

Summary:
The crystal system is tetragonal. The value obtained for the energy of formation is 427 meV/atom. The density comes out at 6.39 g/cm3. The value obtained for the density of states at the Fermi level is 1.10 states/eV per atom.

Below is crystalline CaPm3Ho3 at its relaxed geometry, with properties calculated at the GGA-PBE level.

Unit cell a=8.7116 b=8.7116 c=22.5937 alpha=90.00 beta=90.00 gamma=120.00
Closest atoms and distances in Å follow each position.
Space group R-3 (No. 148, hexagonal axes)
Symmetry-distinct sites (fractional):
Ca 0.0000 0.0000 0.1549 (multiplicity 6)  6 Ho 3.58-3.86, 6 Pm 3.75-3.91
Pm 0.0547 0.6088 0.3777 (multiplicity 18)  4 Ho 3.35-3.63, 2 Pm 3.62, 1 Ca 3.75
Ho 0.0091 0.7784 0.5585 (multiplicity 18)  4 Ho 3.30-3.41, 4 Pm 3.35-3.63, 1 Ca 3.58

Summary:
The crystal system is trigonal. The value obtained for the energy of formation is 218 meV/atom. The density comes out at 6.51 g/cm3. The value obtained for the density of states at the Fermi level is 1.58 states/eV per atom.

Below is crystalline CaPmHo14 at its relaxed geometry, with properties calculated at the GGA-PBE level.

Unit cell a=7.0955 b=7.0955 c=10.0182 alpha=90.00 beta=90.00 gamma=90.00
Closest atoms and distances in Å follow each position.
Space group P4/mmm (No. 123)
Symmetry-distinct sites (fractional):
Ca 0.0000 0.0000 0.0000 (multiplicity 1)  12 Ho 3.55-3.60
Pm 0.5000 0.5000 0.0000 (multiplicity 1)  12 Ho 3.55-3.56
Ho 0.0000 0.0000 0.5000 (multiplicity 1)  12 Ho 3.53-3.55
Ho 0.0000 0.5000 0.0000 (multiplicity 2)  2 Ca 3.55, 2 Pm 3.55, 8 Ho 3.58
Ho 0.0000 0.5000 0.5000 (multiplicity 2)  12 Ho 3.51-3.55
Ho 0.2529 0.2529 0.2548 (multiplicity 8)  10 Ho 3.49-3.59, 1 Pm 3.56, 1 Ca 3.60
Ho 0.5000 0.5000 0.5000 (multiplicity 1)  12 Ho 3.49-3.55

Summary:
The crystal system is tetragonal. The value obtained for the energy of formation is 41 meV/atom. The density comes out at 8.21 g/cm3. The value obtained for the density of states at the Fermi level is 1.23 states/eV per atom.

Below is crystalline CaPm8Ho6 at its relaxed geometry, with properties calculated at the GGA-PBE level.

Unit cell a=9.7366 b=9.7366 c=18.1194 alpha=90.00 beta=90.00 gamma=120.00
Closest atoms and distances in Å follow each position.
Space group R-3 (No. 148, hexagonal axes)
Symmetry-distinct sites (fractional):
Ca 0.0000 0.0000 0.0000 (multiplicity 3)  6 Pm 3.11
Pm 0.0000 0.0000 0.2395 (multiplicity 6)  6 Pm 3.37-3.62, 6 Ho 3.77
Pm 0.0464 0.7642 0.9021 (multiplicity 18)  1 Ca 3.11, 2 Pm 3.22-3.37, 3 Ho 3.40-3.48
Ho 0.0262 0.7925 0.4099 (multiplicity 18)  7 Pm 3.40-3.77, 3 Ho 3.69-3.74

Summary:
The crystal system is trigonal. The value obtained for the energy of formation is 177 meV/atom. The density comes out at 7.33 g/cm3. The value obtained for the density of states at the Fermi level is 1.36 states/eV per atom.

Below is crystalline CaPm2Ho at its relaxed geometry, with properties calculated at the GGA-PBE level.

Unit cell a=5.2237 b=5.2237 c=5.0487 alpha=90.00 beta=90.00 gamma=90.00
Closest atoms and distances in Å follow each position.
Space group P4/mmm (No. 123)
Symmetry-distinct sites (fractional):
Ca 0.0000 0.0000 0.0000 (multiplicity 1)  8 Pm 3.63, 4 Ho 3.69
Pm 0.0000 0.5000 0.5000 (multiplicity 2)  4 Ho 3.63, 4 Ca 3.63, 4 Pm 3.69
Ho 0.5000 0.5000 0.0000 (multiplicity 1)  8 Pm 3.63, 4 Ca 3.69

Summary:
The crystal system is tetragonal. For the energy above the most stable polymorph in this dataset, the calculation gives 64 meV per atom. The value obtained for the energy of formation is 104 meV/atom. The density comes out at 5.97 g/cm3. The value obtained for the density of states at the Fermi level is 1.53 states/eV per atom.

- Look up the energy of formation of the third one.
  211 meV/atom